[1]
Density functional theory data (PBE) for SmAl9Co2 after structural relaxation.

Cell: 6.8064 8.2220 8.2220 Å, 80.14 65.55 65.55°
With the nearest neighbours (Å) after each atom.
Element x y z (fractional)
Al 0.7377 0.8194 0.5754  2 Co 2.52-2.54, 6 Al 2.58-2.81
Al 0.0631 0.3194 0.9246  2 Co 2.52-2.54, 6 Al 2.58-2.81
Al 0.6869 0.1806 0.5754  2 Co 2.52-2.54, 6 Al 2.58-2.81
Sm 0.2500 0.5000 0.5000  18 Al 3.26-3.48
Co 0.8750 0.7500 0.2500  10 Al 2.52-2.78
Al 0.1325 0.4246 0.1806  2 Co 2.52-2.54, 6 Al 2.58-2.81
Co 0.8750 0.2500 0.2500  10 Al 2.52-2.78
Al 0.7500 0.5000 0.5000  8 Al 2.76, 4 Co 2.78
Co 0.8750 0.2500 0.7500  10 Al 2.52-2.78
Al 0.0631 0.9246 0.3194  2 Co 2.52-2.54, 6 Al 2.58-2.81
Al 0.6175 0.3194 0.0754  2 Co 2.52-2.54, 6 Al 2.58-2.81
Al 0.6175 0.0754 0.3194  2 Co 2.52-2.54, 6 Al 2.58-2.81
Al 0.3071 0.6806 0.0754  2 Co 2.52-2.54, 6 Al 2.58-2.81
Al 0.4429 0.4246 0.8194  2 Co 2.52-2.54, 6 Al 2.58-2.81
Al 0.0123 0.9246 0.6806  2 Co 2.52-2.54, 6 Al 2.58-2.81
Sm 0.5000 0.0000 0.0000  18 Al 3.26-3.48
Al 0.4429 0.8194 0.4246  2 Co 2.52-2.54, 6 Al 2.58-2.81
Co 0.3750 0.7500 0.7500  10 Al 2.52-2.78
Al 0.3071 0.0754 0.6806  2 Co 2.52-2.54, 6 Al 2.58-2.81
Al 0.0123 0.6806 0.9246  2 Co 2.52-2.54, 6 Al 2.58-2.81
Al 0.0000 0.0000 0.0000  8 Al 2.76, 4 Co 2.78
Al 0.1325 0.1806 0.4246  2 Co 2.52-2.54, 6 Al 2.58-2.81
Al 0.7377 0.5754 0.8194  2 Co 2.52-2.54, 6 Al 2.58-2.81
Al 0.6869 0.5754 0.1806  2 Co 2.52-2.54, 6 Al 2.58-2.81

The calculated formation energy comes out at -376 meV per atom. Its space group is I4_1/amd (141). The total magnetization is 0.0 Bohr magnetons per cell. Its volume is 190.6 Å³/f.u. The value obtained for the raw total energy is -4.76 eV per atom.

---

[2]
Density functional theory data (PBE) for SmAl3Co after structural relaxation.

Cell: 4.0710 8.2371 10.7590 Å, 90.00 90.00 90.00°
With the nearest neighbours (Å) after each atom.
Element x y z (fractional)
Sm 0.2500 0.1893 0.9896  10 Al 3.06-3.38, 2 Co 3.09
Al 0.7500 0.9504 0.5810  3 Co 2.47-2.53, 1 Al 2.63
Al 0.7500 0.4504 0.9190  3 Co 2.47-2.53, 1 Al 2.63
Sm 0.7500 0.8107 0.0104  10 Al 3.06-3.38, 2 Co 3.09
Al 0.2500 0.8873 0.7775  2 Co 2.36-2.41
Al 0.2500 0.3533 0.2740  2 Co 2.49, 1 Al 2.63
Al 0.7500 0.6127 0.2775  2 Co 2.36-2.41
Co 0.2500 0.6136 0.8564  7 Al 2.36-2.53
Co 0.2500 0.1136 0.6436  7 Al 2.36-2.53
Sm 0.2500 0.6893 0.5104  10 Al 3.06-3.38, 2 Co 3.09
Al 0.2500 0.3873 0.7225  2 Co 2.36-2.41
Al 0.2500 0.5496 0.0810  3 Co 2.47-2.53, 1 Al 2.63
Sm 0.7500 0.3107 0.4896  10 Al 3.06-3.38, 2 Co 3.09
Al 0.7500 0.1467 0.7740  2 Co 2.49, 1 Al 2.63
Al 0.2500 0.8533 0.2260  2 Co 2.49, 1 Al 2.63
Al 0.7500 0.6467 0.7260  2 Co 2.49, 1 Al 2.63
Co 0.7500 0.8864 0.3564  7 Al 2.36-2.53
Al 0.7500 0.1127 0.2225  2 Co 2.36-2.41
Co 0.7500 0.3864 0.1436  7 Al 2.36-2.53
Al 0.2500 0.0496 0.4190  3 Co 2.47-2.53, 1 Al 2.63

The calculated formation energy comes out at -526 meV per atom. For the offset from the most stable computed form, the calculation gives 0 meV per atom. Its space group is Pnma (62). The total magnetization is 0.0 Bohr magnetons per cell. Its volume is 90.2 Å³/f.u. The value obtained for the raw total energy is -5.14 eV per atom.

---

[3]
Density functional theory data (PBE) for SmAl8Co4 after structural relaxation.

Cell: 5.1162 6.5816 6.5816 Å, 81.31 67.13 67.13°
With the nearest neighbours (Å) after each atom.
Element x y z (fractional)
Co 0.5000 0.5000 0.0000  8 Al 2.51-2.62, 2 Co 2.56
Al 0.3408 0.6592 0.6592  4 Co 2.62, 5 Al 2.73-2.75, 1 Sm 2.92
Al 0.5000 0.2238 0.7762  4 Co 2.51, 6 Al 2.71-2.75
Al 0.5000 0.7762 0.2238  4 Co 2.51, 6 Al 2.71-2.75
Al 0.6592 0.3408 0.3408  4 Co 2.62, 5 Al 2.73-2.75, 1 Sm 2.92
Al 0.0000 0.6592 0.3408  4 Co 2.62, 5 Al 2.73-2.75, 1 Sm 2.92
Sm 0.0000 0.0000 0.0000  12 Al 2.92-3.20
Co 0.5000 0.0000 0.5000  8 Al 2.51-2.62, 2 Co 2.56
Al 0.7238 0.7762 0.7762  4 Co 2.51, 6 Al 2.71-2.75
Co 0.0000 0.0000 0.5000  8 Al 2.51-2.62, 2 Co 2.56
Al 0.2762 0.2238 0.2238  4 Co 2.51, 6 Al 2.71-2.75
Co 0.0000 0.5000 0.0000  8 Al 2.51-2.62, 2 Co 2.56
Al 0.0000 0.3408 0.6592  4 Co 2.62, 5 Al 2.73-2.75, 1 Sm 2.92

The calculated formation energy comes out at -501 meV per atom. Its space group is I4/mmm (139). The total magnetization is 0.0 Bohr magnetons per cell. Its volume is 188.1 Å³/f.u. The value obtained for the raw total energy is -5.35 eV per atom.

---

Copy entry 2 word for word.
Density functional theory data (PBE) for SmAl3Co after structural relaxation.

Cell: 4.0710 8.2371 10.7590 Å, 90.00 90.00 90.00°
With the nearest neighbours (Å) after each atom.
Element x y z (fractional)
Sm 0.2500 0.1893 0.9896  10 Al 3.06-3.38, 2 Co 3.09
Al 0.7500 0.9504 0.5810  3 Co 2.47-2.53, 1 Al 2.63
Al 0.7500 0.4504 0.9190  3 Co 2.47-2.53, 1 Al 2.63
Sm 0.7500 0.8107 0.0104  10 Al 3.06-3.38, 2 Co 3.09
Al 0.2500 0.8873 0.7775  2 Co 2.36-2.41
Al 0.2500 0.3533 0.2740  2 Co 2.49, 1 Al 2.63
Al 0.7500 0.6127 0.2775  2 Co 2.36-2.41
Co 0.2500 0.6136 0.8564  7 Al 2.36-2.53
Co 0.2500 0.1136 0.6436  7 Al 2.36-2.53
Sm 0.2500 0.6893 0.5104  10 Al 3.06-3.38, 2 Co 3.09
Al 0.2500 0.3873 0.7225  2 Co 2.36-2.41
Al 0.2500 0.5496 0.0810  3 Co 2.47-2.53, 1 Al 2.63
Sm 0.7500 0.3107 0.4896  10 Al 3.06-3.38, 2 Co 3.09
Al 0.7500 0.1467 0.7740  2 Co 2.49, 1 Al 2.63
Al 0.2500 0.8533 0.2260  2 Co 2.49, 1 Al 2.63
Al 0.7500 0.6467 0.7260  2 Co 2.49, 1 Al 2.63
Co 0.7500 0.8864 0.3564  7 Al 2.36-2.53
Al 0.7500 0.1127 0.2225  2 Co 2.36-2.41
Co 0.7500 0.3864 0.1436  7 Al 2.36-2.53
Al 0.2500 0.0496 0.4190  3 Co 2.47-2.53, 1 Al 2.63

The calculated formation energy comes out at -526 meV per atom. For the offset from the most stable computed form, the calculation gives 0 meV per atom. Its space group is Pnma (62). The total magnetization is 0.0 Bohr magnetons per cell. Its volume is 90.2 Å³/f.u. The value obtained for the raw total energy is -5.14 eV per atom.

---

Question: Number 3 is which compound?
Answer: SmAl8Co4

---

Question: The highest raw total energy belongs to which entry?
Answer: SmAl9Co2

---

Question: Which of these has the lowest calculated formation energy?
Answer: SmAl3Co